w:
! LaTh2Pb PBE-GGA relaxed; values from VASP
! Fermi-level density of states = 1.3569 states/eV per atom
! Crystal system = trigonal
! Size of the total moment = 0.00 Bohr magnetons per cell
&SYSTEM
  ibrav = 0, nat = 4, ntyp = 3
/
ATOMIC_SPECIES
Pb 207.20 Pb.upf
Th 232.04 Th.upf
La 138.91 La.upf
CELL_PARAMETERS angstrom
-0.7805 -2.6361 -2.0917
1.8484 -0.5343 -2.8690
8.2331 -8.5188 4.8112
ATOMIC_POSITIONS angstrom
Pb 4.6505 -5.8446 -0.0747
Th 6.0829 -6.4819 3.0466
Th 3.2181 -5.2072 -3.1960
La 0.0000 0.0000 0.0000



x:
! LaTh2Pb PBE-GGA relaxed; values from VASP
! Fermi-level density of states = 1.1573 states/eV per atom
! Crystal system = tetragonal
! Size of the total moment = 0.00 Bohr magnetons per cell
&SYSTEM
  ibrav = 0, nat = 4, ntyp = 3
/
ATOMIC_SPECIES
Pb 207.20 Pb.upf
Th 232.04 Th.upf
La 138.91 La.upf
CELL_PARAMETERS angstrom
-4.5867 0.4316 2.1042
-0.5896 -4.9343 -0.2731
2.0267 -0.4923 4.5188
ATOMIC_POSITIONS angstrom
Pb -2.2934 0.2158 1.0521
Th 1.0134 -0.2461 2.2594
Th -0.2948 -2.4671 -0.1366
La -1.5748 -2.4975 3.1749



Which of them is the least stable? Correct choice: w.



w:
! LaTi2Pb2 PBE-GGA relaxed; values from VASP
! Fermi-level density of states = 0.6642 states/eV per atom
! Crystal system = tetragonal
! Size of the total moment = 1.83 Bohr magnetons per cell
&SYSTEM
  ibrav = 0, nat = 5, ntyp = 3
/
ATOMIC_SPECIES
Pb 207.20 Pb.upf
Ti 47.87 Ti.upf
La 138.91 La.upf
CELL_PARAMETERS angstrom
4.3858 0.0000 0.0000
0.0000 4.3858 0.0000
2.1929 2.1929 6.7085
ATOMIC_POSITIONS angstrom
Pb 2.1929 2.1929 1.5217
Pb 4.3858 4.3858 5.1868
Ti 4.3858 2.1929 3.3542
Ti 2.1929 4.3858 3.3542
La 0.0000 0.0000 0.0000



x:
! LaTi2Pb2 PBE-GGA relaxed; values from VASP
! Fermi-level density of states = 0.8375 states/eV per atom
! Crystal system = tetragonal
! Size of the total moment = 0.21 Bohr magnetons per cell
&SYSTEM
  ibrav = 0, nat = 10, ntyp = 3
/
ATOMIC_SPECIES
Pb 207.20 Pb.upf
Ti 47.87 Ti.upf
La 138.91 La.upf
CELL_PARAMETERS angstrom
-1.4168 -6.5596 -5.4599
8.2686 0.3161 -2.5254
0.7919 -2.1095 2.3288
ATOMIC_POSITIONS angstrom
Pb 6.5070 -2.0041 -4.0280
Pb 4.2061 -5.3448 -6.2716
Pb 0.3447 -4.2394 -3.9573
Pb 2.6456 -0.8988 -1.7137
Ti 5.4643 -1.7479 -1.1869
Ti 6.6357 -4.9558 -4.4910
Ti 2.1793 -6.6051 -4.4695
Ti 1.0080 -3.3972 -1.1655
La 0.0000 0.0000 0.0000
La 3.4259 -3.1218 -3.9927



Which of them is the least stable? Correct choice: x.



w:
! LaTl3Pb PBE-GGA relaxed; values from VASP
! Fermi-level density of states = 0.7664 states/eV per atom
! Crystal system = cubic
! Size of the total moment = 0.00 Bohr magnetons per cell
&SYSTEM
  ibrav = 0, nat = 5, ntyp = 3
/
ATOMIC_SPECIES
Pb 207.20 Pb.upf
Tl 204.38 Tl.upf
La 138.91 La.upf
CELL_PARAMETERS angstrom
5.8031 0.0000 0.0000
0.0000 5.8031 0.0000
0.0000 0.0000 5.8031
ATOMIC_POSITIONS angstrom
Pb 0.0000 0.0000 0.0000
Tl 0.0000 2.9015 0.0000
Tl 0.0000 0.0000 2.9015
Tl 2.9015 0.0000 0.0000
La 2.9015 2.9015 2.9015



x:
! LaTl3Pb PBE-GGA relaxed; values from VASP
! Fermi-level density of states = 0.5535 states/eV per atom
! Crystal system = cubic
! Size of the total moment = 0.00 Bohr magnetons per cell
&SYSTEM
  ibrav = 0, nat = 5, ntyp = 3
/
ATOMIC_SPECIES
Pb 207.20 Pb.upf
Tl 204.38 Tl.upf
La 138.91 La.upf
CELL_PARAMETERS angstrom
-0.1082 -6.0576 -0.0451
0.4716 0.0366 -6.0402
6.0394 -0.1114 0.4709
ATOMIC_POSITIONS angstrom
Pb 3.2014 -3.0662 -2.8072
Tl 0.2358 0.0183 -3.0201
Tl 3.0197 -0.0557 0.2354
Tl -0.0541 -3.0288 -0.0226
La 0.0000 0.0000 0.0000



Which of them is the least stable? Correct choice: x.



w:
! La2TlPb4 PBE-GGA relaxed; values from VASP
! Fermi-level density of states = 0.7332 states/eV per atom
! Crystal system = tetragonal
! Size of the total moment = 0.00 Bohr magnetons per cell
&SYSTEM
  ibrav = 0, nat = 7, ntyp = 3
/
ATOMIC_SPECIES
Pb 207.20 Pb.upf
Tl 204.38 Tl.upf
La 138.91 La.upf
CELL_PARAMETERS angstrom
-3.5852 -0.0627 -4.5340
-3.3176 -3.9038 2.6774
-7.7558 3.9528 2.3931
ATOMIC_POSITIONS angstrom
Pb -6.2042 1.8131 1.1959
Pb -8.4543 -1.8269 -0.6594
Pb -1.6588 -1.9519 1.3387
Pb -1.7926 -0.0314 -2.2670
Tl 0.0000 0.0000 0.0000
La -4.4624 -0.5890 -0.1481
La -10.1961 0.5752 0.6847



x:
! La2TlPb4 PBE-GGA relaxed; values from VASP
! Fermi-level density of states = 0.6785 states/eV per atom
! Crystal system = monoclinic
! Size of the total moment = 0.00 Bohr magnetons per cell
&SYSTEM
  ibrav = 0, nat = 7, ntyp = 3
/
ATOMIC_SPECIES
Pb 207.20 Pb.upf
Tl 204.38 Tl.upf
La 138.91 La.upf
CELL_PARAMETERS angstrom
5.9205 0.0378 -3.4003
-1.9500 5.5903 -3.4003
0.0277 0.0392 6.9238
ATOMIC_POSITIONS angstrom
Pb 3.1224 4.4260 -4.8485
Pb 1.1361 1.6104 -1.4495
Pb 4.0961 1.6297 -3.1486
Pb 0.1616 4.4055 -3.1486
Tl 3.1356 4.4446 -1.3866
La 0.1758 4.4247 0.3135
La 4.1095 1.6496 0.3135



Which of them is the least stable? Correct choice: w.



w:
! La3Tl2Pb PBE-GGA relaxed; values from VASP
! Fermi-level density of states = 0.9894 states/eV per atom
! Crystal system = tetragonal
! Size of the total moment = 0.00 Bohr magnetons per cell
&SYSTEM
  ibrav = 0, nat = 6, ntyp = 3
/
ATOMIC_SPECIES
La 138.91 La.upf
Tl 204.38 Tl.upf
Pb 207.20 Pb.upf
CELL_PARAMETERS angstrom
3.6915 0.0000 0.0000
0.0000 3.6915 0.0000
0.0000 0.0000 13.7743
ATOMIC_POSITIONS angstrom
La 0.0000 0.0000 0.0000
La 0.0000 0.0000 9.2305
La 0.0000 0.0000 4.5438
Tl 1.8458 1.8458 11.4961
Tl 1.8458 1.8458 2.2782
Pb 1.8458 1.8458 6.8871



x:
! La3Tl2Pb PBE-GGA relaxed; values from VASP
! Fermi-level density of states = 0.5217 states/eV per atom
! Crystal system = trigonal
! Size of the total moment = 0.00 Bohr magnetons per cell
&SYSTEM
  ibrav = 0, nat = 6, ntyp = 3
/
ATOMIC_SPECIES
La 138.91 La.upf
Tl 204.38 Tl.upf
Pb 207.20 Pb.upf
CELL_PARAMETERS angstrom
5.6407 0.0000 0.0000
-2.8204 4.8850 0.0000
0.0000 0.0000 6.9350
ATOMIC_POSITIONS angstrom
La 0.0000 0.0000 3.4675
La 2.8204 1.6283 5.8837
La 0.0000 3.2567 1.0513
Tl 2.8204 1.6283 2.4427
Tl 0.0000 3.2567 4.4923
Pb 0.0000 0.0000 0.0000



Which of them is the least stable? Correct choice: w.



w:
! LaTl2Pb2 PBE-GGA relaxed; values from VASP
! Fermi-level density of states = 0.4653 states/eV per atom
! Crystal system = tetragonal
! Size of the total moment = 0.00 Bohr magnetons per cell
&SYSTEM
  ibrav = 0, nat = 10, ntyp = 3
/
ATOMIC_SPECIES
Pb 207.20 Pb.upf
Tl 204.38 Tl.upf
La 138.91 La.upf
CELL_PARAMETERS angstrom
-0.8876 8.6004 -2.2318
-8.5042 -0.1725 2.7174
1.1394 1.0604 3.6331
ATOMIC_POSITIONS angstrom
Pb -7.7158 3.0220 1.5378
Pb -6.1389 7.3632 -0.2238
Pb -1.6759 5.4058 -1.0522
Pb -3.2528 1.0647 0.7094
Tl -5.2323 1.8348 3.2554
Tl -7.1213 6.1057 2.6013
Tl -3.0200 7.6535 0.8633
Tl -1.1311 3.3826 1.5174
La 0.0000 0.0000 0.0000
La -4.6959 4.2139 0.2428



x:
! LaTl2Pb2 PBE-GGA relaxed; values from VASP
! Fermi-level density of states = 0.6465 states/eV per atom
! Crystal system = orthorhombic
! Size of the total moment = 0.00 Bohr magnetons per cell
&SYSTEM
  ibrav = 0, nat = 10, ntyp = 3
/
ATOMIC_SPECIES
La 138.91 La.upf
Tl 204.38 Tl.upf
Pb 207.20 Pb.upf
CELL_PARAMETERS angstrom
-4.0403 -1.2970 2.4551
-1.7308 -2.1047 -3.9601
7.6501 -10.4159 2.1924
ATOMIC_POSITIONS angstrom
La 3.5630 -8.3789 1.4372
La -1.6840 -5.4387 -0.7498
Tl -0.7527 -2.6503 -2.6388
Tl 3.8220 -11.6409 0.1401
Tl 2.6317 -11.1673 3.3262
Tl -1.9430 -2.1767 0.5473
Pb 0.3634 -6.7094 1.9483
Pb 1.5156 -7.1083 -1.2609
Pb 0.6415 -10.0091 0.6629
Pb 1.2375 -3.8085 0.0245



y:
! LaTl2Pb2 PBE-GGA relaxed; values from VASP
! Fermi-level density of states = 0.6972 states/eV per atom
! Crystal system = tetragonal
! Size of the total moment = 0.00 Bohr magnetons per cell
&SYSTEM
  ibrav = 0, nat = 5, ntyp = 3
/
ATOMIC_SPECIES
Pb 207.20 Pb.upf
Tl 204.38 Tl.upf
La 138.91 La.upf
CELL_PARAMETERS angstrom
4.5532 0.0000 0.0000
0.0000 4.5532 0.0000
2.2766 2.2766 8.0963
ATOMIC_POSITIONS angstrom
Pb 2.2766 2.2766 1.5280
Pb 4.5532 4.5532 6.5683
Tl 4.5532 2.2766 4.0481
Tl 2.2766 4.5532 4.0481
La 0.0000 0.0000 0.0000



Which of them is the least stable? Correct choice: w.